Ti4CoPd GGA-PBE optimized geometry; total magnetization = 0.4 μB per cell; energy of formation from the pure elements = -2.2 eV/f.u.; energy = -7.68 eV per atom
1.0
3.018 0.000 0.000
0.000 3.018 0.000
0.000 0.000 10.030
Ti Co Pd
4 1 1
Cartesian
0.000 0.000 1.484 Ti
0.000 0.000 8.546 Ti
1.509 1.509 3.279 Ti
1.509 1.509 6.750 Ti
1.509 1.509 0.000 Co
0.000 0.000 5.015 Pd

=====

Rb3AgPd2I9 GGA-PBE optimized geometry; total magnetization = 0.0 μB per cell; formation energy without anion corrections = -0.6836 eV/atom; energy = -2.69 eV per atom
1.0
8.087 0.000 0.000
-4.044 7.004 0.000
0.000 0.000 9.922
Rb Ag Pd I
3 1 2 9
Cartesian
0.000 0.000 0.000 Rb
0.000 4.669 6.610 Rb
4.044 2.335 3.312 Rb
0.000 0.000 4.961 Ag
0.000 4.669 1.617 Pd
4.044 2.335 8.306 Pd
-2.022 3.502 0.000 I
0.000 2.390 3.226 I
-1.974 5.809 3.226 I
2.070 1.195 6.697 I
4.044 0.000 0.000 I
2.022 3.502 0.000 I
1.974 5.809 3.226 I
6.017 1.195 6.697 I
4.044 4.614 6.697 I

=====

AlSbCl GGA-PBE optimized geometry; total magnetization = 0.0 μB per cell; formation energy without anion corrections = -0.4012 eV/atom; energy = -3.64 eV per atom
1.0
3.577 0.000 0.000
-1.788 3.098 0.000
0.000 0.000 7.541
Al Sb Cl
1 1 1
Cartesian
0.000 0.000 0.000 Al
0.000 2.065 5.731 Sb
1.788 1.033 1.572 Cl

=====

CsRe2AuO8 GGA-PBE optimized geometry; total magnetization = 0.0 μB per cell; formation energy without anion corrections = -1.4183 eV/atom; energy = -7.14 eV per atom
1.0
2.801 1.617 9.403
-2.801 1.617 9.403
0.000 -3.234 9.403
Cs Re Au O
1 2 1 8
Cartesian
0.000 0.000 0.000 Cs
0.000 0.000 6.833 Re
0.000 0.000 21.377 Re
0.000 0.000 14.105 Au
-1.135 -1.503 12.530 O
-0.735 -1.734 15.680 O
0.000 0.000 8.596 O
-0.735 1.734 12.530 O
-1.135 1.503 15.680 O
0.000 0.000 19.614 O
1.869 -0.231 12.530 O
1.869 0.231 15.680 O